The following is a PBE calculation of an optimized crystal structure of GeSb2H2Pd7, from Alexandria via LeMat-Bulk.

The structure in POSCAR format:
```
GeSb2H2Pd7
1.0
4.004 -0.004 0.008
0.001 4.004 0.008
1.976 1.974 11.042
Ge Sb H Pd
1 2 2 7
Cartesian
0.000 0.000 0.000 Ge
4.000 3.995 4.319 Sb
1.982 1.979 6.738 Sb
3.987 3.982 9.103 H
1.995 1.992 1.954 H
2.003 2.000 0.008 Pd
1.995 1.992 4.043 Pd
3.987 3.982 7.014 Pd
4.002 1.996 1.974 Pd
2.001 3.999 1.974 Pd
3.981 1.975 9.083 Pd
1.980 3.979 9.083 Pd
```

Calculated values
Final energy ... -0.363 Ry per atom

---

The following is a PBE calculation of an optimized crystal structure of CaMg4Tl, from Alexandria via LeMat-Bulk.

The structure in POSCAR format:
```
CaMg4Tl
1.0
4.565 0.000 0.000
0.000 7.947 0.000
0.000 0.000 8.793
Ca Mg Tl
2 8 2
Cartesian
0.000 4.971 6.595 Ca
0.000 2.975 2.198 Ca
0.000 0.000 4.396 Mg
0.000 0.000 0.000 Mg
2.283 7.552 6.595 Mg
2.283 0.395 2.198 Mg
2.283 5.488 0.399 Mg
2.283 2.459 8.394 Mg
2.283 5.488 3.997 Mg
2.283 2.459 4.795 Mg
0.000 1.829 6.595 Tl
0.000 6.118 2.198 Tl
```

Calculated values
Excess energy over the best structure of this formula in the dataset ... 0 meV/atom
Formation energy ... -0.4 eV per formula unit

---

The following is a PBE calculation of an optimized crystal structure of ErTmFe, from Alexandria via LeMat-Bulk.

The structure in POSCAR format:
```
ErTmFe
1.0
-4.257 5.036 1.185
2.216 -3.793 5.143
5.599 4.517 0.918
Fe Tm Er
4 4 4
Cartesian
0.937 4.741 2.157 Fe
-1.807 1.680 5.305 Fe
2.622 1.019 5.090 Fe
5.366 4.079 1.942 Fe
0.344 2.273 1.045 Tm
5.343 0.969 5.608 Tm
3.215 3.487 6.201 Tm
-1.785 4.790 1.638 Tm
0.088 3.490 4.423 Er
2.869 6.019 3.666 Er
3.470 2.269 2.823 Er
0.689 -0.260 3.580 Er
```

Calculated values
Excess energy over the best structure of this formula in the dataset ... 31 meV/atom
Formation energy ... 0.1 eV per formula unit

---

Values of calculated density, in order: 9.98; 3.56; 9.12, all in Mg/m³.
Values of magnetic moment, in order: 0.00; 0.00; 0.73, all in μB per formula unit.
Values of V, in order: 176.9; 319.0; 285.5, all in Å³/cell.